Here is an optimized crystal structure of Ho6In5Hg from Alexandria. Energies are from PBE-GGA.

Its total moment is 0.0 μB per formula unit. As for the final energy: -46.97 eV for the cell shown. The value obtained for the energy relative to the elements is -0.46 eV/atom. As for the density of states at the Fermi level: 0.671 states/eV/atom. For the density, the calculation gives 9.33 g/cm3. As for the volume: 26.18 Å³ per atom.

a = 8.4084 Å, b = 8.4084 Å, c = 7.4122 Å
α = 90.00°, β = 90.00°, γ = 143.17°
Positions (direct):
Ho  0.0000  0.0000  0.2472
Ho  0.0000  0.0000  0.7528
Ho  0.3347  0.6653  0.2486
Ho  0.3347  0.6653  0.7514
Ho  0.6653  0.3347  0.2486
Ho  0.6653  0.3347  0.7514
In  0.1661  0.8339  0.0000
In  0.1673  0.8327  0.5000
In  0.5000  0.5000  0.5000
In  0.8327  0.1673  0.5000
In  0.8339  0.1661  0.0000
Hg  0.5000  0.5000  0.0000